1.
VASP calculation (PBE-GGA) on a relaxed structure of CsBrCl2.

Values from the calculation:
Raw formation energy ... -729 meV/atom

a b c (Å): 5.9963 5.9963 18.3157
angles (deg): 90.00 90.00 90.00
Closest atoms and distances in Å follow each position.
Space group I-42d (No. 122)
Inequivalent atoms, fractional coordinates:
Cs1 0.0000 0.0000 0.0000 (multiplicity 4)  4 Cl 3.51
Br1 0.0000 0.0000 0.5000 (multiplicity 4)  4 Cl 2.85
Cl1 0.1327 0.2500 0.6250 (multiplicity 8)  2 Br 2.85

2.
VASP calculation (PBE-GGA) on a relaxed structure of CsBrCl3.

Values from the calculation:
Raw formation energy ... -791 meV/atom

a b c (Å): 9.8759 8.0330 11.0765
angles (deg): 90.00 124.05 90.00
Closest atoms and distances in Å follow each position.
Space group P2_1/c (No. 14)
Inequivalent atoms, fractional coordinates:
Cs1 0.1828 0.2488 0.0936 (multiplicity 4)  5 Cl 3.46-3.77
Br1 0.2944 0.6986 0.3947 (multiplicity 4)  2 Cl 2.36-2.44
Cl1 0.0262 0.5663 0.2603 (multiplicity 4)  1 Br 2.44
Cl2 0.2784 0.7482 0.6370 (multiplicity 4)  2 Br 2.80
Cl3 0.4333 0.2063 0.4691 (multiplicity 4)  1 Br 2.36

3.
VASP calculation (PBE-GGA) on a relaxed structure of Cs4Br2Cl.

Values from the calculation:
Raw formation energy ... -1461 meV/atom

a b c (Å): 6.6814 6.6814 18.3967
angles (deg): 90.00 90.00 90.00
Closest atoms and distances in Å follow each position.
Space group I4/mmm (No. 139)
Inequivalent atoms, fractional coordinates:
Cs1 0.0000 0.0000 0.1989 (multiplicity 4)  1 Br 3.47, 1 Cl 3.66
Cs2 0.0000 0.5000 0.0000 (multiplicity 4)  2 Cl 3.34
Br1 0.0000 0.0000 0.3875 (multiplicity 4)  1 Cs 3.47
Cl1 0.0000 0.0000 0.0000 (multiplicity 2)  6 Cs 3.34-3.66

4.
VASP calculation (PBE-GGA) on a relaxed structure of CsBrCl3.

Values from the calculation:
Raw formation energy ... -719 meV/atom

a b c (Å): 5.5324 7.2599 10.3448
angles (deg): 90.00 92.40 90.00
Closest atoms and distances in Å follow each position.
Space group P2_1/m (No. 11)
Inequivalent atoms, fractional coordinates:
Cs1 0.2362 0.2500 0.1287 (multiplicity 2)  8 Cl 3.46-3.86
Br1 0.3310 0.2500 0.6937 (multiplicity 2)  2 Cl 2.36
Cl1 0.2548 0.5642 0.6511 (multiplicity 4)  1 Br 2.36
Cl2 0.2784 0.7500 0.0725 (multiplicity 2)  1 Br 3.18, 2 Cs 3.46-3.47

5.
VASP calculation (PBE-GGA) on a relaxed structure of CsBrCl3.

Values from the calculation:
Raw formation energy ... -855 meV/atom

a b c (Å): 5.6830 6.2673 12.1893
angles (deg): 79.99 77.65 84.02
Closest atoms and distances in Å follow each position.
Space group P1 (No. 1)
Inequivalent atoms, fractional coordinates:
Cs1 0.0000 0.0000 0.0000 (multiplicity 1)  6 Cl 3.54-3.92, 2 Br 3.87-3.93
Cs2 0.3164 0.4097 0.4124 (multiplicity 1)  7 Cl 3.55-3.79
Br1 0.4777 0.4469 0.0288 (multiplicity 1)  2 Cl 2.36-2.50
Br2 0.9898 0.5390 0.7809 (multiplicity 1)  1 Cl 2.27
Cl1 0.3212 0.3302 0.7131 (multiplicity 1)  1 Br 2.27
Cl2 0.3859 0.1385 0.1673 (multiplicity 1)  1 Br 2.36
Cl3 0.5953 0.7592 0.8758 (multiplicity 1)  2 Br 2.50-2.66
Cl4 0.8022 0.0858 0.5281 (multiplicity 1)  1 Cl 2.25
Cl5 0.8281 0.8686 0.3963 (multiplicity 1)  2 Cl 2.25-2.38
Cl6 0.8592 0.6368 0.2582 (multiplicity 1)  1 Cl 2.38

6.
VASP calculation (PBE-GGA) on a relaxed structure of CsBrCl2.

Values from the calculation:
Raw formation energy ... -1071 meV/atom

a b c (Å): 5.7592 5.7592 14.7584
angles (deg): 90.00 90.00 120.00
Closest atoms and distances in Å follow each position.
Space group P6_3/mmc (No. 194)
Inequivalent atoms, fractional coordinates:
Cs1 0.0000 0.0000 0.0000 (multiplicity 2)  6 Cl 3.56
Br1 0.3333 0.6667 0.2500 (multiplicity 2)  2 Cl 2.42
Cl1 0.3333 0.6667 0.0859 (multiplicity 4)  1 Br 2.42

7.
VASP calculation (PBE-GGA) on a relaxed structure of CsBrCl3.

Values from the calculation:
Raw formation energy ... -847 meV/atom

a b c (Å): 5.4539 8.9265 9.5017
angles (deg): 107.91 100.02 96.70
Closest atoms and distances in Å follow each position.
Space group P1 (No. 1)
Inequivalent atoms, fractional coordinates:
Cs1 0.0000 0.0000 0.0000 (multiplicity 1)  6 Cl 3.49-3.74
Cs2 0.1115 0.6251 0.3435 (multiplicity 1)  5 Cl 3.43-3.63
Br1 0.4810 0.1239 0.7116 (multiplicity 1)  2 Cl 2.36-2.48
Br2 0.5695 0.3509 0.4254 (multiplicity 1)  2 Cl 2.39-2.45
Cl1 0.1874 0.6341 0.9910 (multiplicity 1)  1 Cl 2.31
Cl2 0.3989 0.8674 0.7342 (multiplicity 1)  1 Br 2.36
Cl3 0.5380 0.8006 0.1646 (multiplicity 1)  2 Cl 2.31-2.33
Cl4 0.5652 0.3137 0.1650 (multiplicity 1)  1 Br 2.39
Cl5 0.5702 0.3959 0.6936 (multiplicity 1)  2 Br 2.45-2.48
Cl6 0.8908 0.9686 0.3418 (multiplicity 1)  1 Cl 2.33

8.
VASP calculation (PBE-GGA) on a relaxed structure of Cs8Br3Cl4.

Values from the calculation:
Raw formation energy ... -1740 meV/atom

a b c (Å): 14.5028 14.5125 10.2467
angles (deg): 90.00 134.92 90.00
Closest atoms and distances in Å follow each position.
Space group C2/m (No. 12)
Inequivalent atoms, fractional coordinates:
Cs1 0.0000 0.2450 0.0000 (multiplicity 4)  3 Cl 3.56-3.63, 2 Br 3.63
Cs2 0.0000 0.2467 0.5000 (multiplicity 4)  3 Cl 3.58-3.63, 3 Br 3.63-3.68
Cs3 0.2403 0.0000 0.4891 (multiplicity 4)  2 Cl 3.55-3.56, 3 Br 3.63-3.69
Cs4 0.2424 0.0000 0.9928 (multiplicity 4)  4 Cl 3.57-3.63, 1 Br 3.68
Br1 0.0000 0.5000 0.5000 (multiplicity 2)  6 Cs 3.68-3.69
Br2 0.2500 0.2500 0.5000 (multiplicity 4)  6 Cs 3.63
Cl1 0.0000 0.0000 0.0000 (multiplicity 2)  6 Cs 3.55-3.57
Cl2 0.0000 0.0000 0.5000 (multiplicity 2)  6 Cs 3.56-3.58
Cl3 0.2500 0.2500 0.0000 (multiplicity 4)  6 Cs 3.63

9.
VASP calculation (PBE-GGA) on a relaxed structure of CsBrCl.

Values from the calculation:
Raw formation energy ... -1114 meV/atom

a b c (Å): 4.9134 4.9134 10.7499
angles (deg): 90.00 90.00 90.00
Closest atoms and distances in Å follow each position.
Space group I4mm (No. 107)
Inequivalent atoms, fractional coordinates:
Cs1 0.0000 0.0000 0.0000 (multiplicity 2)  4 Cl 3.68, 5 Br 3.80-3.85
Br1 0.0000 0.0000 0.3580 (multiplicity 2)  1 Cl 2.74
Cl1 0.0000 0.0000 0.6129 (multiplicity 2)  1 Br 2.74

10.
VASP calculation (PBE-GGA) on a relaxed structure of CsBrCl6.

Values from the calculation:
Raw formation energy ... -514 meV/atom

a b c (Å): 8.5853 12.6190 5.9475
angles (deg): 90.00 107.15 90.00
Closest atoms and distances in Å follow each position.
Space group C2/m (No. 12)
Inequivalent atoms, fractional coordinates:
Cs1 0.0000 0.0000 0.0000 (multiplicity 2)  8 Cl 3.47-3.67
Br1 0.0000 0.5000 0.5000 (multiplicity 2)  2 Cl 2.42
Cl1 0.1815 0.2981 0.8725 (multiplicity 8)  1 Cl 2.03
Cl2 0.2403 0.0000 0.5822 (multiplicity 4)  1 Br 2.42

11.
VASP calculation (PBE-GGA) on a relaxed structure of Cs6BrCl4.

Values from the calculation:
Raw formation energy ... -1703 meV/atom

a b c (Å): 5.0217 16.8488 26.3043
angles (deg): 90.00 90.00 90.00
Closest atoms and distances in Å follow each position.
Space group Cmcm (No. 63)
Inequivalent atoms, fractional coordinates:
Cs1 0.0000 0.0000 0.0000 (multiplicity 4)  6 Cl 3.51-3.59
Cs2 0.0000 0.1917 0.2500 (multiplicity 4)  2 Cl 3.82, 2 Br 3.93
Cs3 0.0000 0.2745 0.5789 (multiplicity 8)  5 Cl 3.49-3.55
Cs4 0.0000 0.4652 0.1627 (multiplicity 8)  3 Cl 3.53-3.58, 2 Br 3.75
Br1 0.0000 0.1286 0.7500 (multiplicity 4)  6 Cs 3.75-3.93
Cl1 0.0000 0.0955 0.1185 (multiplicity 8)  6 Cs 3.49-3.82
Cl2 0.0000 0.3640 0.0433 (multiplicity 8)  6 Cs 3.55-3.59

12.
VASP calculation (PBE-GGA) on a relaxed structure of CsBr2Cl6.

Values from the calculation:
Raw formation energy ... -438 meV/atom

a b c (Å): 9.9217 15.9199 10.9549
angles (deg): 90.00 103.47 90.00
Closest atoms and distances in Å follow each position.
Space group C2/c (No. 15)
Inequivalent atoms, fractional coordinates:
Cs1 0.0000 0.1992 0.2500 (multiplicity 4)  8 Cl 3.61-3.69
Br1 0.2473 0.4386 0.3398 (multiplicity 8)  2 Cl 2.34-2.40
Cl1 0.1829 0.1998 0.5827 (multiplicity 8)  1 Br 2.40
Cl2 0.1996 0.4294 0.7452 (multiplicity 8)  1 Br 2.34
Cl3 0.2367 0.3000 0.9383 (multiplicity 8)  1 Cl 2.07

Computed values of E (unit: eV per atom) for the preceding records, in sequence: -2.284, -2.404, -2.691, -2.332, -2.469, -2.626, -2.461, -3.022, -2.571, -2.215, -2.993, -2.136.